Entry 1:
# ThSc2Zn, relaxed, DFT GGA-PBE
# Crystal system: trigonal
# Excess energy over the best structure of this formula in the dataset, meV/atom: 148
data_ThSc2Zn
_chemical_formula_sum 'Th1 Sc2 Zn1'
_cell_length_a 3.386
_cell_length_b 3.386
_cell_length_c 10.082
_cell_angle_alpha 80.33
_cell_angle_beta 80.33
_cell_angle_gamma 60.00
_symmetry_space_group_name_H-M 'P 1'
_symmetry_Int_Tables_number 1
loop_
_symmetry_equiv_pos_as_xyz
'x,y,z'
loop_
_atom_site_label
_atom_site_fract_x
_atom_site_fract_y
_atom_site_fract_z
_atom_site_occupancy
Sc1 0.262 0.262 0.213 1
Zn1 0.666 0.666 0.001 1
Th1 0.501 0.501 0.498 1
Sc2 0.071 0.071 0.787 1

Entry 2:
# ThSc2Zn3, relaxed, DFT GGA-PBE
# Crystal system: tetragonal
# Electronic total energy, eV per atom: -4.2826
data_ThSc2Zn3
_chemical_formula_sum 'Th1 Sc2 Zn3'
_cell_length_a 3.393
_cell_length_b 3.393
_cell_length_c 10.757
_cell_angle_alpha 90.00
_cell_angle_beta 90.00
_cell_angle_gamma 90.00
_symmetry_space_group_name_H-M 'P 1'
_symmetry_Int_Tables_number 1
loop_
_symmetry_equiv_pos_as_xyz
'x,y,z'
loop_
_atom_site_label
_atom_site_fract_x
_atom_site_fract_y
_atom_site_fract_z
_atom_site_occupancy
Zn1 0.000 0.000 0.000 1
Sc1 0.500 0.500 0.153 1
Zn2 0.000 0.000 0.301 1
Sc2 0.500 0.500 0.847 1
Th1 0.500 0.500 0.500 1
Zn3 0.000 0.000 0.699 1

Entry 3:
# ThSc3Zn4, relaxed, DFT GGA-PBE
# Crystal system: orthorhombic
# Electronic total energy, eV per atom: -4.2271
data_ThSc3Zn4
_chemical_formula_sum 'Th2 Sc6 Zn8'
_cell_length_a 4.834
_cell_length_b 7.003
_cell_length_c 9.668
_cell_angle_alpha 90.00
_cell_angle_beta 90.00
_cell_angle_gamma 90.00
_symmetry_space_group_name_H-M 'P 1'
_symmetry_Int_Tables_number 1
loop_
_symmetry_equiv_pos_as_xyz
'x,y,z'
loop_
_atom_site_label
_atom_site_fract_x
_atom_site_fract_y
_atom_site_fract_z
_atom_site_occupancy
Zn1 0.500 0.775 0.500 1
Sc1 0.501 0.000 0.750 1
Sc2 0.499 0.500 0.250 1
Zn2 0.999 0.225 0.250 1
Zn3 0.500 0.225 0.000 1
Sc3 0.000 0.000 0.500 1
Zn4 0.001 0.225 0.750 1
Th1 0.000 0.500 0.000 1
Sc4 0.000 0.000 0.000 1
Sc5 0.499 0.000 0.250 1
Zn5 0.999 0.775 0.250 1
Sc6 0.501 0.500 0.750 1
Th2 0.000 0.500 0.500 1
Zn6 0.500 0.775 0.000 1
Zn7 0.001 0.775 0.750 1
Zn8 0.500 0.225 0.500 1

Entry 4:
# Th2ScZn, relaxed, DFT GGA-PBE
# Crystal system: cubic
# Excess energy over the best structure of this formula in the dataset, meV/atom: 81
data_Th2ScZn
_chemical_formula_sum 'Th2 Sc1 Zn1'
_cell_length_a 5.319
_cell_length_b 5.319
_cell_length_c 5.319
_cell_angle_alpha 60.00
_cell_angle_beta 60.00
_cell_angle_gamma 60.00
_symmetry_space_group_name_H-M 'P 1'
_symmetry_Int_Tables_number 1
loop_
_symmetry_equiv_pos_as_xyz
'x,y,z'
loop_
_atom_site_label
_atom_site_fract_x
_atom_site_fract_y
_atom_site_fract_z
_atom_site_occupancy
Zn1 0.500 0.500 0.500 1
Th1 0.250 0.250 0.250 1
Th2 0.750 0.750 0.750 1
Sc1 0.000 0.000 0.000 1

Entry 5:
# Th2ScZn6, relaxed, DFT GGA-PBE
# Crystal system: hexagonal
# Electronic total energy, eV per atom: -3.4740
data_Th2ScZn6
_chemical_formula_sum 'Th2 Sc1 Zn6'
_cell_length_a 3.410
_cell_length_b 7.884
_cell_length_c 7.884
_cell_angle_alpha 60.00
_cell_angle_beta 89.99
_cell_angle_gamma 89.99
_symmetry_space_group_name_H-M 'P 1'
_symmetry_Int_Tables_number 1
loop_
_symmetry_equiv_pos_as_xyz
'x,y,z'
loop_
_atom_site_label
_atom_site_fract_x
_atom_site_fract_y
_atom_site_fract_z
_atom_site_occupancy
Th1 0.000 0.667 0.667 1
Zn1 0.500 0.678 0.322 1
Sc1 0.000 0.000 0.000 1
Zn2 0.500 0.000 0.322 1
Zn3 0.500 0.000 0.678 1
Zn4 0.500 0.678 0.000 1
Zn5 0.500 0.322 0.000 1
Zn6 0.500 0.322 0.678 1
Th2 0.000 0.333 0.333 1

Entry 6:
# ThScZn11, relaxed, DFT GGA-PBE
# Crystal system: monoclinic
# Electronic total energy, eV per atom: -2.2888
data_ThScZn11
_chemical_formula_sum 'Th1 Sc1 Zn11'
_cell_length_a 5.530
_cell_length_b 7.061
_cell_length_c 6.808
_cell_angle_alpha 80.88
_cell_angle_beta 66.04
_cell_angle_gamma 67.02
_symmetry_space_group_name_H-M 'P 1'
_symmetry_Int_Tables_number 1
loop_
_symmetry_equiv_pos_as_xyz
'x,y,z'
loop_
_atom_site_label
_atom_site_fract_x
_atom_site_fract_y
_atom_site_fract_z
_atom_site_occupancy
Zn1 0.721 0.791 0.781 1
Zn2 0.498 0.209 0.781 1
Zn3 0.000 0.500 0.000 1
Sc1 0.500 0.500 0.000 1
Zn4 0.660 0.348 0.362 1
Zn5 0.022 0.348 0.638 1
Zn6 0.978 0.652 0.362 1
Zn7 0.279 0.209 0.219 1
Zn8 0.500 0.000 0.500 1
Th1 0.000 0.000 0.000 1
Zn9 0.000 0.000 0.500 1
Zn10 0.502 0.791 0.219 1
Zn11 0.340 0.652 0.638 1

Entry 7:
# ThSc2Zn, relaxed, DFT GGA-PBE
# Crystal system: trigonal
# Excess energy over the best structure of this formula in the dataset, meV/atom: 131
data_ThSc2Zn
_chemical_formula_sum 'Th1 Sc2 Zn1'
_cell_length_a 3.405
_cell_length_b 3.405
_cell_length_c 9.908
_cell_angle_alpha 80.11
_cell_angle_beta 80.11
_cell_angle_gamma 60.00
_symmetry_space_group_name_H-M 'P 1'
_symmetry_Int_Tables_number 1
loop_
_symmetry_equiv_pos_as_xyz
'x,y,z'
loop_
_atom_site_label
_atom_site_fract_x
_atom_site_fract_y
_atom_site_fract_z
_atom_site_occupancy
Th1 0.500 0.500 0.500 1
Sc1 0.740 0.740 0.781 1
Sc2 0.260 0.260 0.219 1
Zn1 0.000 0.000 0.000 1

Entry 8:
# ThSc2Zn4, relaxed, DFT GGA-PBE
# Crystal system: tetragonal
# Electronic total energy, eV per atom: -3.6297
data_ThSc2Zn4
_chemical_formula_sum 'Th1 Sc2 Zn4'
_cell_length_a 4.858
_cell_length_b 4.858
_cell_length_c 6.700
_cell_angle_alpha 90.00
_cell_angle_beta 90.00
_cell_angle_gamma 90.00
_symmetry_space_group_name_H-M 'P 1'
_symmetry_Int_Tables_number 1
loop_
_symmetry_equiv_pos_as_xyz
'x,y,z'
loop_
_atom_site_label
_atom_site_fract_x
_atom_site_fract_y
_atom_site_fract_z
_atom_site_occupancy
Zn1 0.000 0.500 0.715 1
Sc1 0.000 0.000 0.000 1
Zn2 0.000 0.500 0.285 1
Zn3 0.500 0.000 0.715 1
Zn4 0.500 0.000 0.285 1
Th1 0.500 0.500 0.000 1
Sc2 0.500 0.500 0.500 1

Entry 9:
# ThScZn10, relaxed, DFT GGA-PBE
# Crystal system: orthorhombic
# Electronic total energy, eV per atom: -2.4194
data_ThScZn10
_chemical_formula_sum 'Th1 Sc1 Zn10'
_cell_length_a 4.228
_cell_length_b 5.298
_cell_length_c 9.154
_cell_angle_alpha 90.00
_cell_angle_beta 90.00
_cell_angle_gamma 90.00
_symmetry_space_group_name_H-M 'P 1'
_symmetry_Int_Tables_number 1
loop_
_symmetry_equiv_pos_as_xyz
'x,y,z'
loop_
_atom_site_label
_atom_site_fract_x
_atom_site_fract_y
_atom_site_fract_z
_atom_site_occupancy
Zn1 0.500 0.000 0.500 1
Zn2 0.500 0.751 0.748 1
Zn3 0.500 0.249 0.748 1
Zn4 0.000 0.500 0.818 1
Zn5 0.500 0.500 0.000 1
Sc1 0.000 0.500 0.500 1
Zn6 0.500 0.249 0.252 1
Zn7 0.000 0.000 0.655 1
Zn8 0.500 0.751 0.252 1
Th1 0.000 0.000 0.000 1
Zn9 0.000 0.000 0.345 1
Zn10 0.000 0.500 0.182 1

Entry 10:
# Th2ScZn, relaxed, DFT GGA-PBE
# Crystal system: trigonal
# Excess energy over the best structure of this formula in the dataset, meV/atom: 335
data_Th2ScZn
_chemical_formula_sum 'Th2 Sc1 Zn1'
_cell_length_a 3.364
_cell_length_b 3.364
_cell_length_c 12.052
_cell_angle_alpha 81.98
_cell_angle_beta 81.98
_cell_angle_gamma 60.00
_symmetry_space_group_name_H-M 'P 1'
_symmetry_Int_Tables_number 1
loop_
_symmetry_equiv_pos_as_xyz
'x,y,z'
loop_
_atom_site_label
_atom_site_fract_x
_atom_site_fract_y
_atom_site_fract_z
_atom_site_occupancy
Th1 0.912 0.912 0.263 1
Zn1 0.000 0.000 0.000 1
Th2 0.088 0.088 0.737 1
Sc1 0.500 0.500 0.500 1

Entry 11:
# Th2ScZn, relaxed, DFT GGA-PBE
# Crystal system: tetragonal
# Excess energy over the best structure of this formula in the dataset, meV/atom: 0
data_Th2ScZn
_chemical_formula_sum 'Th2 Sc1 Zn1'
_cell_length_a 3.713
_cell_length_b 3.713
_cell_length_c 7.846
_cell_angle_alpha 90.00
_cell_angle_beta 90.00
_cell_angle_gamma 90.00
_symmetry_space_group_name_H-M 'P 1'
_symmetry_Int_Tables_number 1
loop_
_symmetry_equiv_pos_as_xyz
'x,y,z'
loop_
_atom_site_label
_atom_site_fract_x
_atom_site_fract_y
_atom_site_fract_z
_atom_site_occupancy
Sc1 0.500 0.500 0.500 1
Th1 0.000 0.000 0.227 1
Th2 0.000 0.000 0.773 1
Zn1 0.500 0.500 0.000 1

Entry 12:
# ThSc2Zn, relaxed, DFT GGA-PBE
# Crystal system: tetragonal
# Excess energy over the best structure of this formula in the dataset, meV/atom: 0
data_ThSc2Zn
_chemical_formula_sum 'Th1 Sc2 Zn1'
_cell_length_a 3.402
_cell_length_b 3.402
_cell_length_c 8.074
_cell_angle_alpha 90.00
_cell_angle_beta 90.00
_cell_angle_gamma 90.00
_symmetry_space_group_name_H-M 'P 1'
_symmetry_Int_Tables_number 1
loop_
_symmetry_equiv_pos_as_xyz
'x,y,z'
loop_
_atom_site_label
_atom_site_fract_x
_atom_site_fract_y
_atom_site_fract_z
_atom_site_occupancy
Sc1 0.000 0.000 0.205 1
Th1 0.500 0.500 0.500 1
Sc2 0.000 0.000 0.795 1
Zn1 0.500 0.500 0.000 1